! SCAN Tc2AgP, single point on PBEsol structure; values from VASP
! Crystal system: tetragonal
&SYSTEM
  ibrav = 0, nat = 4, ntyp = 3
/
ATOMIC_SPECIES
Ag 107.87 Ag.upf
Tc 98.00 Tc.upf
P 30.97 P.upf
ATOMIC_POSITIONS crystal
Ag 0.5000 0.5000 0.0000
Tc 0.0000 0.0000 0.0000
P 0.2500 0.7500 0.5000
Tc 0.7500 0.2500 0.5000
CELL_PARAMETERS angstrom
3.8199 0.0000 0.0000
0.0000 3.8199 0.0000
-1.9099 -1.9099 3.8038

! SCAN TcAgP2, single point on PBEsol structure; values from VASP
! Crystal system: orthorhombic
&SYSTEM
  ibrav = 0, nat = 4, ntyp = 3
/
ATOMIC_SPECIES
Ag 107.87 Ag.upf
Tc 98.00 Tc.upf
P 30.97 P.upf
ATOMIC_POSITIONS crystal
Ag 0.5000 0.5000 0.0000
Tc 0.5000 0.5000 0.5000
P 0.0000 0.0000 0.2793
P 0.0000 0.0000 0.7207
CELL_PARAMETERS angstrom
2.8428 -0.0567 0.0000
-1.2578 2.5500 0.0000
0.0000 0.0000 8.4164

! SCAN Tc2AgP, single point on PBEsol structure; values from VASP
! Crystal system: tetragonal
&SYSTEM
  ibrav = 0, nat = 4, ntyp = 3
/
ATOMIC_SPECIES
Tc 98.00 Tc.upf
P 30.97 P.upf
Ag 107.87 Ag.upf
ATOMIC_POSITIONS crystal
Tc 0.0000 0.0000 0.9745
Tc 0.5000 0.5000 0.2229
P 0.5000 0.5000 0.7866
Ag 0.0000 0.0000 0.5160
CELL_PARAMETERS angstrom
-0.8006 -0.7721 -2.6649
-2.5201 -0.9579 1.0346
-2.7696 6.2343 -0.9741

ΔH_f (0 K)? In order: 0.456, 0.347, 0.140 eV/atom.